# InFeAu2O6

A relaxed structure of InFeAu2O6 (PBE with a Hubbard U, Alexandria).

Values from the calculation:
Calculated volume, A^3/atom: 12.79
Energy, eV for the cell shown: -102.8

a b c (Å): 7.008 7.008 6.022
angles (deg): 102.17 102.17 63.22
Element x y z (fractional)
1 In 0.165 0.835 0.750
2 In 0.835 0.165 0.250
3 Fe 0.381 0.619 0.250
4 Fe 0.619 0.381 0.750
5 Au 0.115 0.378 0.746
6 Au 0.378 0.115 0.246
7 Au 0.622 0.885 0.754
8 Au 0.885 0.622 0.254
9 O 0.059 0.298 0.227
10 O 0.110 0.740 0.373
11 O 0.260 0.890 0.127
12 O 0.298 0.059 0.727
13 O 0.340 0.492 0.862
14 O 0.492 0.340 0.362
15 O 0.508 0.660 0.638
16 O 0.660 0.508 0.138
17 O 0.702 0.941 0.273
18 O 0.740 0.110 0.873
19 O 0.890 0.260 0.627
20 O 0.941 0.702 0.773